Entry 1:
Compound: GaSbTe2As
Source: Alexandria
Functional: PBE
Structure: optimized geometry

```
5
Lattice="-3.9543 -3.9917 -0.1930 3.9946 -3.9560 -0.0269 -0.1092 -0.1460 5.2571" Properties=species:S:1:pos:R:3 pbc="T T T"
Te 1.9973 -1.9780 -0.0134
Ga -0.0345 -4.0468 2.5186
As 0.0000 0.0000 0.0000
Te -1.9772 -1.9958 -0.0965
Sb -0.0546 -0.0730 2.6285
```

As for the total magnetization: 0.000 μB/cell. Its formation energy from raw total energies is 0.4586 eV/atom. For the electronic total energy, the calculation gives -3.16 eV/atom. As for the polymorph energy (0 for the lowest one): 0.0000 eV per atom.


Entry 2:
Compound: AgMoP2
Source: Alexandria
Functional: PBE
Structure: optimized geometry

```
4
Lattice="-1.0270 -1.6348 2.1898 2.9046 -0.1803 -0.2315 0.8186 6.4807 5.2221" Properties=species:S:1:pos:R:3 pbc="T T T"
Ag 1.1434 0.7126 2.2847
P 0.7910 6.2625 5.0463
Mo 1.5527 3.9530 4.8957
P 0.4369 3.4586 2.7869
```

As for the total magnetization: 0.000 μB/cell. The formation energy comes out at 0.257 eV/atom. For the electronic total energy, the calculation gives -5.87 eV/atom. As for the polymorph energy (0 for the lowest one): 0.3202 eV per atom.


Entry 3:
Compound: Nd2RhBr2
Source: Alexandria
Functional: PBE
Structure: optimized geometry

```
5
Lattice="4.0426 0.0000 0.7547 1.9634 3.5469 0.6872 -0.0702 -0.0479 11.5799" Properties=species:S:1:pos:R:3 pbc="T T T"
Nd 2.6461 2.7850 8.2345
Rh 0.9466 1.7495 6.1336
Br 2.3268 0.2464 9.9448
Br 3.6090 3.2526 3.0771
Nd 3.2897 0.7140 4.7874
```

As for the total magnetization: 0.000 μB/cell. Its formation energy from raw total energies is -1.2826 eV/atom. For the electronic total energy, the calculation gives -5.33 eV/atom.


Entry 4:
Compound: TbPr3P4
Source: Alexandria
Functional: PBE
Structure: optimized geometry

```
8
Lattice="-0.9860 -4.6185 -3.5133 -1.6812 -3.1834 4.6567 -5.5540 1.7836 -0.7859" Properties=species:S:1:pos:R:3 pbc="T T T"
P -2.7770 0.8918 -0.3929
Pr -3.6176 -0.6999 1.9354
Pr -3.2700 -1.4175 -2.1496
P -4.1106 -3.0092 0.1788
P -0.8406 -1.5917 2.3284
P -0.4930 -2.3092 -1.7566
Tb 0.0000 0.0000 0.0000
Pr -1.3336 -3.9009 0.5717
```

As for the total magnetization: 0.000 μB/cell. The formation energy comes out at -1.526 eV/atom. For the electronic total energy, the calculation gives -6.60 eV/atom.


Entry 5:
Compound: CeSm2YS6
Source: Alexandria
Functional: PBE
Structure: optimized geometry

```
10
Lattice="-3.3699 1.1563 -6.1220 -5.2278 -4.3237 -2.0367 -7.0173 2.5652 0.2497" Properties=species:S:1:pos:R:3 pbc="T T T"
S -8.3371 2.2144 -4.4178
S -8.0699 -0.9252 -6.8414
S -4.9369 0.4261 -4.1089
S -7.8561 0.3024 -1.4135
S -10.3878 -0.6653 -3.7731
Ce -10.9310 -1.1322 -6.4898
S -7.3174 -3.1065 -3.1290
Y -3.0801 -0.8689 -2.5662
Sm -7.5567 -0.5199 -4.1339
Sm -6.7994 2.3751 0.0939
```

As for the total magnetization: 1.022 μB/cell. Its formation energy from raw total energies is -2.0074 eV/atom. For the electronic total energy, the calculation gives -6.67 eV/atom.


Entry 6:
Compound: Lu2TeIr
Source: Alexandria
Functional: PBE
Structure: optimized geometry

```
4
Lattice="-3.0810 2.1067 1.6528 -2.4125 -1.7580 2.7842 2.4500 2.3570 6.6036" Properties=species:S:1:pos:R:3 pbc="T T T"
Lu -0.9548 0.5749 2.5280
Ir 0.0000 0.0000 0.0000
Te -1.5218 1.3529 5.5203
Lu -2.0887 2.1308 8.5126
```

As for the total magnetization: 0.000 μB/cell. Its formation energy from raw total energies is -0.9993 eV/atom. For the electronic total energy, the calculation gives -6.26 eV/atom. As for the polymorph energy (0 for the lowest one): 0.0000 eV per atom.